(i)
Compound: Tm3TaO7
Source: Alexandria
Functional: PBE-GGA
Structure: relaxed

Values from the calculation:
**Calculated density**: 9.2 g/cm3

Unit cell a=7.5087 b=10.4261 c=7.3747 alpha=90.00 beta=90.00 gamma=90.00
With the nearest neighbours (Å) after each atom.
Space group C222_1 (No. 20)
Inequivalent atoms, fractional coordinates:
Tm1 0.0399 0.0000 0.0000 x4  6 O 2.30-2.37
Tm2 0.2321 0.2673 0.7596 x8  7 O 2.19-2.41
Ta1 0.0022 0.5000 0.0000 x4  6 O 1.93-2.05
O1 0.0000 0.1288 0.2500 x4  4 Tm 2.29-2.30
O2 0.0000 0.1406 0.7500 x4  4 Tm 2.19-2.37
O3 0.0000 0.4273 0.7500 x4  2 Ta 1.99
O4 0.1783 0.3696 0.0477 x8  1 Ta 1.93
O5 0.2083 0.3764 0.4758 x8  1 Ta 2.05, 1 Tm 2.23

---

(ii)
Compound: Tm3TaO7
Source: Alexandria
Functional: PBE-GGA
Structure: relaxed

Values from the calculation:
**Calculated density**: 9.4 g/cm3

Unit cell a=10.4667 b=7.2886 c=7.4294 alpha=90.00 beta=90.00 gamma=90.00
With the nearest neighbours (Å) after each atom.
Space group Cmcm (No. 63)
Inequivalent atoms, fractional coordinates:
Tm1 0.0000 0.0000 0.0000 x4  4 O 2.33
Tm2 0.2306 0.2842 0.2500 x8  6 O 2.18-2.38
Ta1 0.0000 0.5000 0.0000 x4  6 O 1.96-1.99
O1 0.0000 0.4156 0.2500 x4  2 Ta 1.96
O2 0.1305 0.3051 0.5364 x16  1 Ta 1.99
O3 0.1331 0.0204 0.2500 x8  4 Tm 2.18-2.33

---

Most stable = (i)